# Dy6Si2Bi

Dy6Si2Bi after structural relaxation (GGA-PBE, the Alexandria database).

a = 8.540 Å, b = 8.540 Å, c = 8.540 Å
α = 104.59°, β = 111.45°, γ = 112.48°
Atoms (fractional coordinates):
Dy  0.211  0.243  0.454
Bi  0.000  0.500  0.500
Dy  0.211  0.757  0.969
Dy  0.701  0.021  0.320
Dy  0.533  0.721  0.812
Dy  0.908  0.721  0.188
Dy  0.299  0.979  0.680
Si  0.372  0.000  0.372
Dy  0.467  0.279  0.188
Si  0.500  0.615  0.115
Si  0.628  0.000  0.628
Dy  0.789  0.243  0.031
Si  0.500  0.385  0.885
Dy  0.092  0.279  0.812
Dy  0.789  0.757  0.546
Dy  0.701  0.381  0.680
Dy  0.299  0.619  0.320
Bi  0.000  0.000  0.000

Calculated values
total moment = 0.0 μB/cell
DFT total energy = -5.2747 eV per atom
Fermi-level density of states = 7.65 states/eV/f.u.
space group = Immm, No. 71
density = 8.6 g/cm3